Computed, not measured: a geometry-optimized Ba2PbBr structure at the PBE-GGA level of DFT.

Properties
Formation energy (no corrections): -1.014 eV/atom
Offset from the most stable computed form: 0.1075 eV per atom
Calculated total energy: -13.28 eV/cell

The structure in extended XYZ format:
```
4
Lattice="-2.145 2.276 8.928 2.145 -2.276 8.928 2.145 2.276 -8.928" Properties=species:S:1:pos:R:3 pbc="T T T"
Ba 0.000 0.000 0.000
Ba 0.000 2.276 4.537
Pb 0.000 0.000 7.161
Br 2.145 0.000 2.889
```



Computed, not measured: a geometry-optimized Ba3PbBr2 structure at the PBE-GGA level of DFT.

Properties
Formation energy (no corrections): -1.326 eV/atom
Calculated total energy: -83.11 eV/cell

The structure in extended XYZ format:
```
24
Lattice="9.775 0.000 0.000 0.000 6.934 0.000 0.000 0.000 14.992" Properties=species:S:1:pos:R:3 pbc="T T T"
Ba 1.124 1.734 3.673
Ba 1.138 1.734 13.812
Ba 1.142 1.734 8.688
Ba 3.745 5.201 1.192
Ba 3.750 5.201 6.316
Ba 3.764 5.201 11.169
Ba 6.011 1.734 3.823
Ba 6.025 1.734 8.676
Ba 6.030 1.734 13.800
Ba 8.633 5.201 6.304
Ba 8.637 5.201 1.180
Ba 8.652 5.201 11.319
Pb 1.482 5.201 13.709
Pb 3.405 1.734 6.213
Pb 6.370 5.201 8.779
Pb 8.293 1.734 1.283
Br 1.249 5.201 8.815
Br 1.302 5.201 3.637
Br 3.585 1.734 11.133
Br 3.639 1.734 1.319
Br 6.136 5.201 13.673
Br 6.190 5.201 3.859
Br 8.473 1.734 11.355
Br 8.527 1.734 6.177
```



Computed, not measured: a geometry-optimized BaPbBr4 structure at the PBE-GGA level of DFT.

Properties
Formation energy (no corrections): -1.535 eV/atom
Calculated total energy: -43.07 eV/cell

The structure in extended XYZ format:
```
12
Lattice="8.528 -3.795 0.000 8.528 3.795 0.000 -3.362 0.000 6.799" Properties=species:S:1:pos:R:3 pbc="T T T"
Ba 6.007 1.897 5.099
Ba 7.687 -1.897 1.700
Pb 4.264 1.897 0.000
Pb 2.583 -1.897 3.399
Br 1.788 0.003 0.880
Br 0.107 -0.003 4.279
Br 5.063 0.005 2.508
Br 3.382 -0.005 5.908
Br 10.312 0.005 0.891
Br 8.631 -0.005 4.290
Br 13.587 0.003 2.519
Br 11.906 -0.003 5.919
```



Computed, not measured: a geometry-optimized BaPb2Br structure at the PBE-GGA level of DFT.

Properties
Formation energy (no corrections): -0.793 eV/atom
Offset from the most stable computed form: 0.0000 eV per atom
Calculated total energy: -14.19 eV/cell

The structure in extended XYZ format:
```
4
Lattice="2.461 1.421 8.175 -2.461 1.421 8.175 0.000 -2.842 8.175" Properties=species:S:1:pos:R:3 pbc="T T T"
Ba 0.000 0.000 0.000
Pb 0.000 0.000 11.625
Pb 0.000 0.000 18.639
Br 0.000 0.000 6.606
```



Computed, not measured: a geometry-optimized BaPb2Br structure at the PBE-GGA level of DFT.

Properties
Formation energy (no corrections): -0.138 eV/atom
Offset from the most stable computed form: 0.6552 eV per atom
Calculated total energy: -11.56 eV/cell

The structure in extended XYZ format:
```
4
Lattice="1.959 1.131 10.852 -1.959 1.131 10.852 0.000 -2.263 10.852" Properties=species:S:1:pos:R:3 pbc="T T T"
Ba 0.000 0.000 0.000
Pb 0.000 0.000 7.820
Pb 0.000 0.000 24.737
Br 0.000 0.000 16.278
```



Computed, not measured: a geometry-optimized Ba3Pb5Br12 structure at the PBE-GGA level of DFT.

Properties
Formation energy (no corrections): -1.069 eV/atom
Calculated total energy: -263.04 eV/cell

The structure in extended XYZ format:
```
80
Lattice="-9.447 9.447 9.447 9.447 -9.447 9.447 9.447 9.447 -9.447" Properties=species:S:1:pos:R:3 pbc="T T T"
Ba 4.723 2.362 0.000
Ba 9.447 4.723 -2.362
Ba 2.362 0.000 4.723
Ba 11.809 0.000 4.723
Ba 0.000 4.723 2.362
Ba 4.723 -2.362 9.447
Ba 4.723 11.809 0.000
Ba 9.447 4.723 7.085
Ba -2.362 9.447 4.723
Ba 7.085 9.447 4.723
Ba 0.000 4.723 11.809
Ba 4.723 7.085 9.447
Pb 0.000 0.000 0.000
Pb 4.723 4.723 -4.723
Pb 4.723 -4.723 4.723
Pb 9.447 0.000 0.000
Pb 14.170 2.362 0.000
Pb 9.447 -4.723 7.085
Pb 7.085 9.447 -4.723
Pb 7.085 0.000 4.723
Pb 4.723 7.085 0.000
Pb 9.447 4.723 2.362
Pb -4.723 4.723 4.723
Pb 0.000 9.447 0.000
Pb 0.000 0.000 9.447
Pb 4.723 4.723 4.723
Pb 0.000 4.723 7.085
Pb 4.723 2.362 9.447
Pb 2.362 9.447 4.723
Pb 2.362 0.000 14.170
Pb 0.000 14.170 2.362
Pb -4.723 7.085 9.447
Br 2.881 -0.246 1.266
Br 11.289 5.990 -4.970
Br 12.328 0.246 1.266
Br 11.289 -3.457 4.970
Br 9.200 -1.266 2.881
Br 14.417 -1.842 3.457
Br 1.266 2.881 -0.246
Br 12.904 4.477 -1.842
Br 5.990 4.970 -1.842
Br 8.181 2.881 0.246
Br -0.246 1.266 2.881
Br 4.970 -1.842 5.990
Br 9.200 8.181 -2.881
Br 4.970 1.842 3.457
Br 5.990 -4.970 11.289
Br 8.181 -2.881 9.200
Br 3.457 4.970 1.842
Br 10.713 6.566 0.246
Br 4.970 11.289 -3.457
Br 9.200 1.266 6.566
Br 2.881 9.200 -1.266
Br 11.289 3.457 4.477
Br 1.842 3.457 4.970
Br 2.881 0.246 8.181
Br 6.566 9.200 1.266
Br 7.605 5.990 4.477
Br -1.842 5.990 4.970
Br 6.566 0.246 10.713
Br 0.246 8.181 2.881
Br 4.477 -1.842 12.904
Br -1.266 2.881 9.200
Br 5.990 4.477 7.605
Br 1.266 12.328 0.246
Br 3.457 14.417 -1.842
Br 4.477 7.605 5.990
Br 0.246 1.266 12.328
Br 4.477 11.289 3.457
Br 9.693 8.181 6.566
Br 1.266 6.566 9.200
Br 3.457 4.477 11.289
Br -3.457 4.970 11.289
Br 8.181 6.566 9.693
Br -4.970 11.289 5.990
Br 0.246 10.713 6.566
Br -1.842 12.904 4.477
Br -2.881 9.200 8.181
Br -1.842 3.457 14.417
Br 6.566 9.693 8.181
```



Computed, not measured: a geometry-optimized BaPb4Br structure at the PBE-GGA level of DFT.

Properties
Formation energy (no corrections): -0.345 eV/atom
Calculated total energy: -20.50 eV/cell

The structure in extended XYZ format:
```
6
Lattice="0.000 4.686 4.686 4.686 0.000 4.686 4.686 4.686 0.000" Properties=species:S:1:pos:R:3 pbc="T T T"
Ba 0.000 0.000 0.000
Pb 3.510 3.510 3.510
Pb 5.861 5.861 3.510
Pb 5.861 3.510 5.861
Pb 3.510 5.861 5.861
Br 7.029 7.029 7.029
```



Computed, not measured: a geometry-optimized Ba2PbBr structure at the PBE-GGA level of DFT.

Properties
Formation energy (no corrections): -0.843 eV/atom
Offset from the most stable computed form: 0.2787 eV per atom
Calculated total energy: -12.60 eV/cell

The structure in extended XYZ format:
```
4
Lattice="-2.449 2.449 6.979 2.449 -2.449 6.979 2.449 2.449 -6.979" Properties=species:S:1:pos:R:3 pbc="T T T"
Ba 0.000 0.000 0.000
Ba 0.000 2.449 3.490
Pb 0.000 0.000 6.979
Br 2.449 0.000 3.490
```



Computed, not measured: a geometry-optimized BaPb2Br6 structure at the PBE-GGA level of DFT.

Properties
Formation energy (no corrections): -1.325 eV/atom
Calculated total energy: -31.30 eV/cell

The structure in extended XYZ format:
```
9
Lattice="7.784 0.000 0.000 -3.892 6.741 0.000 0.000 0.000 7.053" Properties=species:S:1:pos:R:3 pbc="T T T"
Ba 0.000 0.000 0.000
Pb 0.000 4.494 3.527
Pb 3.892 2.247 3.527
Br -1.365 2.364 5.247
Br -2.527 4.377 1.807
Br 2.730 0.000 5.247
Br 1.365 2.364 1.807
Br 5.054 0.000 1.807
Br 2.527 4.377 5.247
```



Computed, not measured: a geometry-optimized BaPbBr4 structure at the PBE-GGA level of DFT.

Properties
Formation energy (no corrections): -0.457 eV/atom
Calculated total energy: -15.06 eV/cell

The structure in extended XYZ format:
```
6
Lattice="0.000 4.649 4.649 4.649 0.000 4.649 4.649 4.649 0.000" Properties=species:S:1:pos:R:3 pbc="T T T"
Ba 0.000 0.000 0.000
Pb 2.325 2.325 2.325
Br 5.816 3.483 3.483
Br 3.483 5.816 3.483
Br 3.483 3.483 5.816
Br 5.816 5.816 5.816
```



Computed, not measured: a geometry-optimized Ba2PbBr structure at the PBE-GGA level of DFT.

Properties
Formation energy (no corrections): -1.083 eV/atom
Offset from the most stable computed form: 0.0380 eV per atom
Calculated total energy: -13.56 eV/cell

The structure in extended XYZ format:
```
4
Lattice="2.428 1.402 8.613 -2.428 1.402 8.613 0.000 -2.804 8.613" Properties=species:S:1:pos:R:3 pbc="T T T"
Ba 0.000 0.000 6.431
Ba 0.000 0.000 19.408
Pb 0.000 0.000 12.920
Br 0.000 0.000 0.000
```



Computed, not measured: a geometry-optimized BaPb2Br structure at the PBE-GGA level of DFT.

Properties
Formation energy (no corrections): -0.427 eV/atom
Offset from the most stable computed form: 0.3663 eV per atom
Calculated total energy: -12.72 eV/cell

The structure in extended XYZ format:
```
4
Lattice="3.252 -5.801 0.000 3.252 5.801 0.000 0.000 0.000 3.762" Properties=species:S:1:pos:R:3 pbc="T T T"
Ba 0.000 0.000 0.000
Pb 1.626 2.901 1.881
Pb 1.626 -2.901 1.881
Br 3.252 0.000 0.000
```



Computed, not measured: a geometry-optimized Ba6Rh2PbBr3 structure at the PBE-GGA level of DFT.

Properties
Formation energy (no corrections): -0.973 eV/atom
Calculated total energy: -46.64 eV/cell

The structure in extended XYZ format:
```
12
Lattice="10.885 -2.278 0.000 10.885 2.278 0.000 -2.681 0.000 9.624" Properties=species:S:1:pos:R:3 pbc="T T T"
Ba -0.184 0.000 2.606
Ba 5.797 0.000 4.151
Ba 4.893 0.000 8.503
Ba 14.196 0.000 1.121
Ba 13.292 0.000 5.474
Ba 19.273 0.000 7.019
Rh 2.742 0.000 3.264
Rh 16.348 0.000 6.361
Pb 10.885 0.000 0.000
Br 1.495 0.000 8.024
Br 9.545 0.000 4.812
Br 17.595 0.000 1.601
```



Computed, not measured: a geometry-optimized BaRuPbBr2 structure at the PBE-GGA level of DFT.

Properties
Formation energy (no corrections): 0.352 eV/atom
Calculated total energy: -16.49 eV/cell

The structure in extended XYZ format:
```
5
Lattice="6.074 0.000 0.000 0.000 6.074 0.000 0.000 0.000 5.589" Properties=species:S:1:pos:R:3 pbc="T T T"
Ba 0.000 0.000 0.000
Ru 0.000 0.000 2.795
Pb 3.037 3.037 2.795
Br 0.000 3.037 0.000
Br 3.037 0.000 0.000
```



Computed, not measured: a geometry-optimized Ba2PbS2Br2 structure at the PBE-GGA level of DFT.

Properties
Formation energy (no corrections): -1.543 eV/atom
Calculated total energy: -29.96 eV/cell

The structure in extended XYZ format:
```
7
Lattice="-2.772 2.772 8.265 2.772 -2.772 8.265 2.772 2.772 -8.265" Properties=species:S:1:pos:R:3 pbc="T T T"
Ba 0.000 0.000 1.902
Ba 0.000 0.000 14.629
Pb 0.000 0.000 8.265
S 2.772 0.000 0.000
S 0.000 2.772 0.000
Br 0.000 0.000 5.109
Br 0.000 0.000 11.421
```



Computed, not measured: a geometry-optimized Ba6Sb2PbBr3 structure at the PBE-GGA level of DFT.

Properties
Formation energy (no corrections): -1.352 eV/atom
Calculated total energy: -44.73 eV/cell

The structure in extended XYZ format:
```
12
Lattice="10.918 -2.464 0.000 10.918 2.464 0.000 -2.128 0.000 9.831" Properties=species:S:1:pos:R:3 pbc="T T T"
Ba -0.441 0.000 2.483
Ba 6.231 0.000 4.172
Ba 5.418 0.000 8.882
Ba 14.289 0.000 0.949
Ba 13.476 0.000 5.660
Ba 20.148 0.000 7.349
Sb 2.898 0.000 3.300
Sb 16.809 0.000 6.531
Pb 10.918 0.000 0.000
Br 1.930 0.000 8.203
Br 9.854 0.000 4.916
Br 17.777 0.000 1.628
```



Computed, not measured: a geometry-optimized Ba4SbPbBr2 structure at the PBE-GGA level of DFT.

Properties
Formation energy (no corrections): -1.273 eV/atom
Calculated total energy: -29.05 eV/cell

The structure in extended XYZ format:
```
8
Lattice="8.719 0.000 0.000 0.000 4.852 0.000 -2.861 0.000 8.342" Properties=species:S:1:pos:R:3 pbc="T T T"
Ba 1.333 0.000 2.038
Ba -0.061 2.426 6.315
Ba 5.920 2.426 2.027
Ba 4.525 0.000 6.304
Sb 0.000 2.426 0.000
Pb -1.430 0.000 4.171
Br 4.360 0.000 0.000
Br 2.929 2.426 4.171
```



Computed, not measured: a geometry-optimized Ba4PbSeBr2 structure at the PBE-GGA level of DFT.

Properties
Formation energy (no corrections): -1.498 eV/atom
Calculated total energy: -30.21 eV/cell

The structure in extended XYZ format:
```
8
Lattice="8.507 0.000 0.000 0.000 4.913 0.000 -2.885 0.000 8.010" Properties=species:S:1:pos:R:3 pbc="T T T"
Ba 1.216 0.000 1.930
Ba -0.165 2.456 6.000
Ba 5.787 2.456 2.010
Ba 4.406 0.000 6.080
Pb -1.442 0.000 4.005
Se 0.000 2.456 0.000
Br 4.253 0.000 0.000
Br 2.811 2.456 4.005
```



Computed, not measured: a geometry-optimized BaPbSeBr2 structure at the PBE-GGA level of DFT.

Properties
Formation energy (no corrections): -1.384 eV/atom
Offset from the most stable computed form: 0.0000 eV per atom
Calculated total energy: -38.76 eV/cell

The structure in extended XYZ format:
```
10
Lattice="2.311 -7.095 0.000 2.311 7.095 0.000 0.000 0.000 10.876" Properties=species:S:1:pos:R:3 pbc="T T T"
Ba 2.311 3.813 8.157
Ba 2.311 -3.813 2.719
Pb 2.311 0.000 0.000
Pb 2.311 0.000 5.438
Se 2.311 1.124 2.719
Se 2.311 -1.124 8.157
Br 2.311 4.997 0.669
Br 2.311 4.997 4.769
Br 2.311 -4.997 6.107
Br 2.311 -4.997 10.207
```



Computed, not measured: a geometry-optimized BaPbSeBr2 structure at the PBE-GGA level of DFT.

Properties
Formation energy (no corrections): -1.108 eV/atom
Offset from the most stable computed form: 0.2758 eV per atom
Calculated total energy: -18.00 eV/cell

The structure in extended XYZ format:
```
5
Lattice="5.730 0.000 0.000 0.000 5.730 0.000 0.000 0.000 5.892" Properties=species:S:1:pos:R:3 pbc="T T T"
Ba 0.000 0.000 0.000
Pb 2.865 2.865 2.946
Se 2.865 2.865 0.000
Br 0.000 2.865 2.946
Br 2.865 0.000 2.946
```



Computed, not measured: a geometry-optimized BaPbSeBr2 structure at the PBE-GGA level of DFT.

Properties
Formation energy (no corrections): -0.726 eV/atom
Offset from the most stable computed form: 0.6576 eV per atom
Calculated total energy: -16.09 eV/cell

The structure in extended XYZ format:
```
5
Lattice="6.012 0.000 0.000 0.000 6.012 0.000 0.000 0.000 6.384" Properties=species:S:1:pos:R:3 pbc="T T T"
Ba 0.000 0.000 0.000
Pb 3.006 3.006 3.192
Se 0.000 0.000 3.192
Br 0.000 3.006 0.000
Br 3.006 0.000 0.000
```



no.,spin magnetization (μB/f.u.)
1,0.0
2,0.0
3,0.0
4,0.0
5,0.0
6,3.7
7,0.0
8,0.0
9,0.0
10,0.0
11,0.0
12,0.0
13,0.1
14,1.3
15,0.0
16,0.6
17,0.3
18,0.0
19,0.0
20,0.0
21,0.0